Record 1
This record from Alexandria describes a geometry-optimized Li2AgIrN structure. The functional is PBE.

It has space group P4/mmm (No. 123), with a = 4.193 Å, b = 4.193 Å, c = 3.771 Å, α = 90.00°, β = 90.00° and γ = 90.00°. The inequivalent atoms are Li at (0.000, 0.500, 0.000), Ag at (0.000, 0.000, 0.500), Ir at (0.500, 0.500, 0.500) and N at (0.500, 0.500, 0.000).

The raw formation energy comes out at -252 meV per atom. The value obtained for the mass density is 8.2 g/cm³. As for the total energy: -5.025 eV/atom.

***

Record 2
This record from Alexandria describes a geometry-optimized LiAg3Ir2O6 structure. The functional is PBE.

It has space group C2/m (No. 12), with a = 5.353 Å, b = 9.258 Å, c = 6.632 Å, α = 90.00°, β = 105.60° and γ = 90.00°. The inequivalent atoms are Li at (0.000, 0.000, 0.000), Ag at (0.000, 0.171, 0.500), Ag at (0.000, 0.500, 0.500), Ir at (0.000, 0.333, 0.000), O at (0.090, 0.500, 0.835) and O at (0.123, 0.177, 0.836).

The raw formation energy comes out at -660 meV per atom. The value obtained for the mass density is 8.5 g/cm³. As for the total energy: -5.489 eV/atom.